(1)
Entry from Alexandria via LeMat-Bulk: an optimized crystal structure of CuSi2Au (PBE).

Cell: 5.0566 5.0566 4.2839 Å, 92.97 92.97 34.21°
Closest atoms and distances in Å follow each position.
Sites, in units of the cell vectors:
Cu1 0.2366 0.2366 0.2623  5 Si 2.52-2.66, 1 Au 2.74
Au1 0.5087 0.5087 0.4766  5 Si 2.58-2.64, 3 Cu 2.74-2.85
Si1 0.7542 0.7542 0.7786  1 Si 2.49, 4 Cu 2.56-2.66, 1 Au 2.64
Si2 0.0005 0.0005 0.9825  1 Si 2.49, 1 Cu 2.52, 4 Au 2.58-2.63

Results
- Excess energy over the best structure of this formula in the dataset: 17.2 kJ per mole of atoms
- E: -4.36 eV per atom
- SG: Cm
- Formation energy (no corrections): 195 meV per atom

***

(2)
Entry from Alexandria via LeMat-Bulk: an optimized crystal structure of CuSiAu4 (PBE).

Cell: 6.0693 6.0543 5.9853 Å, 90.03 90.00 90.00°
Closest atoms and distances in Å follow each position.
Sites, in units of the cell vectors:
Si1 0.0000 0.0000 0.0000  8 Au 2.60
Si2 0.5000 0.5000 0.0000  8 Au 2.60
Au1 0.7499 0.2500 0.2464  2 Si 2.60, 2 Cu 2.63
Au2 0.7500 0.7501 0.7536  2 Si 2.60, 2 Cu 2.63
Au3 0.7500 0.2501 0.7536  2 Si 2.60, 2 Cu 2.63
Au4 0.7501 0.7500 0.2464  2 Si 2.60, 2 Cu 2.63
Au5 0.2501 0.7500 0.7536  2 Si 2.60, 2 Cu 2.63
Au6 0.2499 0.2500 0.7536  2 Si 2.60, 2 Cu 2.63
Au7 0.2500 0.2499 0.2464  2 Si 2.60, 2 Cu 2.63
Au8 0.2500 0.7499 0.2464  2 Si 2.60, 2 Cu 2.63
Cu1 0.5000 0.0000 0.5000  8 Au 2.63
Cu2 0.0000 0.5000 0.5000  8 Au 2.63

Results
- Excess energy over the best structure of this formula in the dataset: 4.1 kJ per mole of atoms
- E: -3.72 eV per atom
- SG: Cmmm
- Formation energy (no corrections): 48 meV per atom

***

(3)
Entry from Alexandria via LeMat-Bulk: an optimized crystal structure of CuSi2Au (PBE).

Cell: 5.1696 5.1696 3.7492 Å, 68.85 68.85 117.85°
Closest atoms and distances in Å follow each position.
Sites, in units of the cell vectors:
Cu1 0.0000 0.5000 0.5000  4 Si 2.59, 4 Au 2.67-2.68
Si1 0.5000 0.5000 0.0000  2 Au 2.59, 2 Cu 2.59, 4 Si 2.67-2.68
Si2 0.0000 0.0000 0.0000  2 Cu 2.59, 2 Au 2.59, 4 Si 2.67-2.68
Au1 0.5000 0.0000 0.5000  4 Si 2.59, 4 Cu 2.67-2.68

Results
- Excess energy over the best structure of this formula in the dataset: 17.7 kJ per mole of atoms
- E: -4.35 eV per atom
- SG: C2/m
- Formation energy (no corrections): 201 meV per atom

***

(4)
Entry from Alexandria via LeMat-Bulk: an optimized crystal structure of CuSiAu2 (PBE).

Cell: 4.1401 3.0542 5.2486 Å, 90.17 90.00 90.00°
Closest atoms and distances in Å follow each position.
Sites, in units of the cell vectors:
Si1 0.5000 0.7522 0.7194  2 Cu 2.41, 4 Au 2.51-2.65
Au1 0.5000 0.2480 0.3066  2 Si 2.65, 4 Cu 2.73-2.74
Au2 0.0000 0.7534 0.9892  2 Si 2.51, 2 Cu 2.60-2.65
Cu1 0.0000 0.7464 0.4849  2 Si 2.41, 2 Au 2.60-2.65

Results
- E: -3.96 eV per atom
- SG: Pm
- Formation energy (no corrections): 61 meV per atom

***

(5)
Entry from Alexandria via LeMat-Bulk: an optimized crystal structure of Cu6SiAu5 (PBE).

Cell: 4.2908 6.4246 7.4837 Å, 115.42 106.66 90.00°
Closest atoms and distances in Å follow each position.
Sites, in units of the cell vectors:
Cu1 0.8480 0.0727 0.6960  1 Si 2.42, 4 Au 2.63-2.69
Cu2 0.1520 0.3766 0.3040  1 Si 2.42, 4 Au 2.63-2.69
Cu3 0.8480 0.6234 0.6960  1 Si 2.42, 4 Au 2.63-2.69
Cu4 0.4999 0.2053 0.0000  2 Si 2.52, 1 Cu 2.64, 4 Au 2.77
Cu5 0.1520 0.9273 0.3040  1 Si 2.42, 4 Au 2.63-2.69
Cu6 0.5001 0.7947 0.0000  2 Si 2.52, 1 Cu 2.64, 4 Au 2.77
Au1 0.3425 0.3425 0.6851  8 Cu 2.77-2.84, 4 Au 2.90-2.95
Au2 0.0000 0.5000 0.0000  8 Cu 2.63-2.86, 4 Au 2.95
Au3 0.6575 0.6575 0.3149  8 Cu 2.77-2.84, 4 Au 2.90-2.95
Au4 0.3101 0.8101 0.6202  8 Cu 2.63-2.77, 2 Au 2.90
Au5 0.6899 0.1899 0.3798  8 Cu 2.63-2.77, 2 Au 2.90
Si1 0.0000 0.0000 0.0000  8 Cu 2.42-2.52

Results
- E: -3.90 eV per atom
- SG: Immm
- Formation energy (no corrections): -31 meV per atom

***

(6)
Entry from Alexandria via LeMat-Bulk: an optimized crystal structure of Cu6SiAu (PBE).

Cell: 3.6812 7.5227 5.2875 Å, 135.35 90.00 90.00°
Closest atoms and distances in Å follow each position.
Sites, in units of the cell vectors:
Cu1 0.5000 0.1435 0.7598  1 Si 2.48, 8 Cu 2.56-2.73, 2 Au 2.71
Cu2 0.0000 0.3742 0.7483  2 Si 2.55, 10 Cu 2.56-2.65
Cu3 0.5000 0.1323 0.2645  10 Cu 2.56-2.73, 2 Au 2.67
Cu4 0.0000 0.3742 0.2502  8 Cu 2.59-2.65, 2 Au 2.63-2.66, 2 Si 2.64
Cu5 0.0000 0.8760 0.2502  8 Cu 2.59-2.65, 2 Au 2.63-2.66, 2 Si 2.64
Cu6 0.5000 0.6163 0.7598  1 Si 2.48, 8 Cu 2.56-2.73, 2 Au 2.71
Si1 0.5000 0.6119 0.2237  8 Cu 2.48-2.64, 2 Au 2.67
Au1 0.0000 0.8717 0.7434  10 Cu 2.63-2.71, 2 Si 2.67

Results
- Excess energy over the best structure of this formula in the dataset: 0.7 kJ per mole of atoms
- E: -4.17 eV per atom
- SG: Amm2
- Formation energy (no corrections): -12 meV per atom

***

(7)
Entry from Alexandria via LeMat-Bulk: an optimized crystal structure of CuSiAu4 (PBE).

Cell: 5.0332 4.5370 11.0906 Å, 121.68 105.86 88.73°
Closest atoms and distances in Å follow each position.
Sites, in units of the cell vectors:
Cu1 0.0612 0.5432 0.8437  2 Si 2.57-2.84, 6 Au 2.69-2.85
Cu2 0.9388 0.4568 0.1563  2 Si 2.57-2.84, 6 Au 2.69-2.85
Au1 0.3976 0.3326 0.6709  2 Si 2.54-2.67, 1 Cu 2.69, 1 Au 2.81
Au2 0.2064 0.5972 0.4518  2 Si 2.56-2.58, 1 Au 2.81
Au3 0.7936 0.4028 0.5482  2 Si 2.56-2.58, 1 Au 2.81
Au4 0.6762 0.7495 0.9989  1 Si 2.51, 2 Cu 2.76-2.77
Au5 0.6024 0.6674 0.3291  2 Si 2.54-2.67, 1 Cu 2.69, 1 Au 2.81
Au6 0.2595 0.9822 0.1810  2 Si 2.64-2.69, 2 Cu 2.75-2.76, 6 Au 2.91-2.94
Au7 0.3238 0.2505 0.0011  1 Si 2.51, 2 Cu 2.76-2.77
Au8 0.7405 0.0178 0.8190  2 Si 2.64-2.69, 2 Cu 2.75-2.76, 6 Au 2.91-2.94
Si1 0.1893 0.9200 0.7224  7 Au 2.51-2.69, 1 Cu 2.57
Si2 0.8107 0.0800 0.2776  7 Au 2.51-2.69, 1 Cu 2.57

Results
- Excess energy over the best structure of this formula in the dataset: 0.0 kJ per mole of atoms
- E: -3.77 eV per atom
- SG: P-1
- Formation energy (no corrections): 5 meV per atom

***

(8)
Entry from Alexandria via LeMat-Bulk: an optimized crystal structure of CuSi2Au2 (PBE).

Cell: 6.1421 6.1421 4.4930 Å, 90.00 90.00 90.00°
Closest atoms and distances in Å follow each position.
Sites, in units of the cell vectors:
Au1 0.7518 0.2518 0.5000  2 Si 2.47
Au2 0.2482 0.7482 0.5000  2 Si 2.47
Au3 0.7482 0.7518 0.5000  2 Si 2.47
Au4 0.2518 0.2482 0.5000  2 Si 2.47
Cu1 0.0000 0.0000 0.0000  4 Si 2.39
Cu2 0.5000 0.5000 0.0000  4 Si 2.39
Si1 0.6344 0.1344 0.0000  1 Si 2.34, 2 Cu 2.39, 2 Au 2.47
Si2 0.1344 0.3656 0.0000  1 Si 2.34, 2 Cu 2.39, 2 Au 2.47
Si3 0.8656 0.6344 0.0000  1 Si 2.34, 2 Cu 2.39, 2 Au 2.47
Si4 0.3656 0.8656 0.0000  1 Si 2.34, 2 Cu 2.39, 2 Au 2.47

Results
- E: -4.19 eV per atom
- SG: P4/mbm
- Formation energy (no corrections): 108 meV per atom

***

(9)
Entry from Alexandria via LeMat-Bulk: an optimized crystal structure of Cu6SiAu2 (PBE).

Cell: 5.2004 5.2668 5.2668 Å, 59.98 89.78 89.78°
Closest atoms and distances in Å follow each position.
Sites, in units of the cell vectors:
Cu1 0.3167 0.3529 0.8236  1 Si 2.31, 4 Cu 2.48-2.49
Cu2 0.3167 0.8236 0.3529  1 Si 2.31, 4 Cu 2.48-2.49
Cu3 0.3191 0.8235 0.8235  1 Si 2.31, 4 Cu 2.48-2.49
Cu4 0.6833 0.1764 0.6471  1 Si 2.31, 4 Cu 2.48-2.49
Cu5 0.6833 0.6471 0.1764  1 Si 2.31, 4 Cu 2.48-2.49
Cu6 0.6809 0.1765 0.1765  1 Si 2.31, 4 Cu 2.48-2.49
Au1 0.8279 0.6663 0.6663  12 Cu 2.74-3.02
Au2 0.1721 0.3337 0.3337  12 Cu 2.74-3.02
Si1 0.0000 0.0000 0.0000  6 Cu 2.31

Results
- Excess energy over the best structure of this formula in the dataset: 0.0 kJ per mole of atoms
- E: -4.01 eV per atom
- SG: C2/m
- Formation energy (no corrections): 53 meV per atom

***

(10)
Entry from Alexandria via LeMat-Bulk: an optimized crystal structure of CuSiAu2 (PBE).

Cell: 3.4667 3.4746 5.3020 Å, 90.00 90.00 90.00°
Closest atoms and distances in Å follow each position.
Sites, in units of the cell vectors:
Au1 0.0000 0.0000 0.9718  2 Cu 2.57-2.73, 4 Si 2.70
Au2 0.5000 0.5000 0.2817  2 Si 2.53-2.77, 4 Cu 2.68
Cu1 0.0000 0.0000 0.4870  6 Au 2.57-2.73, 4 Si 2.85
Si1 0.5000 0.5000 0.7595  6 Au 2.53-2.77

Results
- E: -3.97 eV per atom
- SG: P4mm
- Formation energy (no corrections): 53 meV per atom

***

(11)
Entry from Alexandria via LeMat-Bulk: an optimized crystal structure of Cu2SiAu5 (PBE).

Cell: 4.1966 5.1146 13.2659 Å, 90.00 90.00 114.22°
Closest atoms and distances in Å follow each position.
Sites, in units of the cell vectors:
Au1 0.3498 0.6995 0.4618  3 Cu 2.74-2.75, 8 Au 2.93-2.99, 1 Si 3.05
Au2 0.6502 0.3005 0.5382  3 Cu 2.74-2.75, 8 Au 2.93-2.99, 1 Si 3.05
Au3 0.4871 0.9742 0.2500  1 Si 2.47
Au4 0.0480 0.0960 0.3952  1 Si 2.52, 1 Cu 2.81
Au5 0.6502 0.3005 0.9618  3 Cu 2.74-2.75, 8 Au 2.93-2.99, 1 Si 3.05
Au6 0.9520 0.9040 0.8952  1 Si 2.52, 1 Cu 2.81
Au7 0.9520 0.9040 0.6048  1 Si 2.52, 1 Cu 2.81
Au8 0.5129 0.0258 0.7500  1 Si 2.47
Au9 0.0480 0.0960 0.1048  1 Si 2.52, 1 Cu 2.81
Au10 0.3498 0.6995 0.0382  3 Cu 2.74-2.75, 8 Au 2.93-2.99, 1 Si 3.05
Cu1 0.2442 0.4884 0.8452  2 Si 2.47, 1 Cu 2.53, 3 Au 2.74-2.75
Cu2 0.7558 0.5116 0.3452  2 Si 2.47, 1 Cu 2.53, 3 Au 2.74-2.75
Cu3 0.2442 0.4884 0.6548  2 Si 2.47, 1 Cu 2.53, 3 Au 2.74-2.75
Cu4 0.7558 0.5116 0.1548  2 Si 2.47, 1 Cu 2.53, 3 Au 2.74-2.75
Si1 0.7772 0.5544 0.7500  3 Au 2.47-2.52, 4 Cu 2.47
Si2 0.2228 0.4456 0.2500  3 Au 2.47-2.52, 4 Cu 2.47

Results
- E: -3.76 eV per atom
- SG: Cmcm
- Formation energy (no corrections): -10 meV per atom

***

(12)
Entry from Alexandria via LeMat-Bulk: an optimized crystal structure of Cu2SiAu8 (PBE).

Cell: 5.4334 7.2698 7.2698 Å, 121.77 107.39 107.39°
Closest atoms and distances in Å follow each position.
Sites, in units of the cell vectors:
Au1 0.2910 0.6200 0.8744  2 Cu 2.61-2.68, 1 Si 2.75, 2 Au 2.87-2.88
Au2 0.7851 0.6437 0.6437  1 Si 2.46, 1 Au 2.74
Au3 0.1453 0.3394 0.3394  1 Si 2.51, 1 Au 2.74, 2 Cu 2.77
Au4 0.2910 0.8744 0.6200  2 Cu 2.61-2.68, 1 Si 2.75, 2 Au 2.87-2.88
Au5 0.9621 0.1714 0.8270  1 Si 2.65, 3 Au 2.79-2.97, 2 Cu 2.80-2.91
Au6 0.6862 0.4007 0.1240  1 Si 2.49, 2 Cu 2.65-2.66
Au7 0.9621 0.8270 0.1714  1 Si 2.65, 3 Au 2.79-2.97, 2 Cu 2.80-2.91
Au8 0.6862 0.1240 0.4007  1 Si 2.49, 2 Cu 2.65-2.66
Cu1 0.4568 0.6796 0.2983  8 Au 2.61-2.91
Cu2 0.4568 0.2983 0.6796  8 Au 2.61-2.91
Si1 0.2768 0.0555 0.0555  8 Au 2.46-2.75

Results
- Excess energy over the best structure of this formula in the dataset: 0.0 kJ per mole of atoms
- E: -3.58 eV per atom
- SG: Cm
- Formation energy (no corrections): 41 meV per atom